(1)
Computed, not measured: a relaxed AsAuBr crystal at the PBE-GGA level of DFT.

Unit cell a=4.728 b=4.728 c=4.728 alpha=60.00 beta=60.00 gamma=60.00
Each line ends with the local moment (μB).
Fractional coordinates of all 3 atoms:
Br: 0.000 0.000 0.000  0.13
As: 0.500 0.500 0.500  0.34
Au: 0.750 0.750 0.750  0.15

Values from the calculation:
* energy above the most stable polymorph in this dataset: 702 meV per atom
* total energy: -2.63 eV per atom
* ΔE_f (raw): 0.57 eV/atom
* D(E_F): 1.057 states/eV/atom
* magnetic moment: 1.00 μB/cell



(2)
Computed, not measured: a relaxed As2AuBr crystal at the PBE-GGA level of DFT.

Unit cell a=7.081 b=7.081 c=7.081 alpha=150.11 beta=146.16 gamma=45.76
Fractional coordinates of all 4 atoms:
Au: 0.472 0.472 0.000
Br: 0.216 0.716 0.500
As: 0.835 0.335 0.500
As: 0.978 0.978 0.000

Values from the calculation:
* energy above the most stable polymorph in this dataset: 121 meV per atom
* total energy: -3.47 eV per atom
* ΔE_f (raw): 0.09 eV/atom
* D(E_F): 0.305 states/eV/atom
* magnetic moment: 0.00 μB/cell



(3)
Computed, not measured: a relaxed AsAu2Br crystal at the PBE-GGA level of DFT.

Unit cell a=7.461 b=7.461 c=8.140 alpha=152.53 beta=145.57 gamma=29.80
Fractional coordinates of all 4 atoms:
Br: 0.432 0.432 0.000
Au: 0.078 0.078 0.000
Au: 0.800 0.300 0.500
As: 0.190 0.690 0.500

Values from the calculation:
* energy above the most stable polymorph in this dataset: 59 meV per atom
* total energy: -3.12 eV per atom
* ΔE_f (raw): 0.09 eV/atom
* D(E_F): 0.269 states/eV/atom
* magnetic moment: 0.00 μB/cell



(4)
Computed, not measured: a relaxed As2AuBr crystal at the PBE-GGA level of DFT.

Unit cell a=3.262 b=3.262 c=11.833 alpha=90.00 beta=90.00 gamma=129.63
Fractional coordinates of all 4 atoms:
As: 0.000 0.000 0.056
As: 0.000 0.000 0.444
Au: 0.500 0.500 0.250
Br: 0.500 0.500 0.750

Values from the calculation:
* energy above the most stable polymorph in this dataset: 308 meV per atom
* total energy: -3.29 eV per atom
* ΔE_f (raw): 0.28 eV/atom
* D(E_F): 0.482 states/eV/atom
* magnetic moment: 0.00 μB/cell